This record from Alexandria via LeMat-Bulk describes a relaxed CeYPtAu crystal. The functional is GGA-PBE.

**Fermi-level density of states**: 7.360 states/eV/cell
**Magnetization**: 0.83 μB per formula unit
**Calculated formation energy**: -85 kJ per mole of atoms
**DFT total energy**: -6.312 eV/atom
**Relative energy among the computed polymorphs**: 105 meV/atom

Unit cell a=5.0903 b=5.0903 c=5.0903 alpha=60.00 beta=60.00 gamma=60.00
Closest atoms and distances in Å follow each position.
Element x y z (fractional)
1 Pt 0.7500 0.7500 0.7500  4 Y 3.12, 4 Ce 3.12
2 Au 0.2500 0.2500 0.2500  4 Ce 3.12, 4 Y 3.12
3 Ce 0.0000 0.0000 0.0000  4 Pt 3.12, 4 Au 3.12
4 Y 0.5000 0.5000 0.5000  4 Au 3.12, 4 Pt 3.12

---

This record from Alexandria via LeMat-Bulk describes a relaxed Pr3Nd2Mg crystal. The functional is GGA-PBE.

**Fermi-level density of states**: 9.823 states/eV/cell
**Magnetization**: 0.00 μB per formula unit
**Calculated formation energy**: 32 kJ per mole of atoms
**DFT total energy**: -3.909 eV/atom
**Relative energy among the computed polymorphs**: 331 meV/atom

Unit cell a=3.4036 b=12.0528 c=8.0954 alpha=138.11 beta=102.14 gamma=90.00
Closest atoms and distances in Å follow each position.
Element x y z (fractional)
1 Pr 0.3340 0.3294 0.6681  1 Mg 3.35, 4 Pr 3.40-3.43, 3 Nd 3.44-3.46
2 Pr 0.6660 0.6613 0.3319  1 Mg 3.35, 4 Pr 3.40-3.43, 3 Nd 3.44-3.46
3 Pr 0.0000 0.0102 0.0000  4 Pr 3.40-3.43, 2 Mg 3.41, 2 Nd 3.67
4 Nd 0.8272 0.5704 0.6544  1 Mg 3.36, 3 Nd 3.40-3.55, 4 Pr 3.44-3.67
5 Nd 0.1728 0.9161 0.3456  1 Mg 3.36, 3 Nd 3.40-3.55, 4 Pr 3.44-3.67
6 Mg 0.5000 0.2556 0.0000  4 Pr 3.35-3.41, 2 Nd 3.36, 2 Mg 3.40

---

This record from Alexandria via LeMat-Bulk describes a relaxed PmCd5Cu crystal. The functional is GGA-PBE.

**Fermi-level density of states**: 5.001 states/eV/cell
**Magnetization**: 0.00 μB per formula unit
**Calculated formation energy**: -15 kJ per mole of atoms
**DFT total energy**: -2.071 eV/atom

Unit cell a=4.6750 b=4.6750 c=7.4958 alpha=90.00 beta=90.00 gamma=90.00
Closest atoms and distances in Å follow each position.
Element x y z (fractional)
1 Cd 0.5000 0.0000 0.6984  2 Cu 2.77, 1 Cd 2.97
2 Cd 0.5000 0.5000 0.0000  8 Cd 3.25, 4 Pm 3.31
3 Cd 0.0000 0.5000 0.3016  2 Cu 2.77, 1 Cd 2.97
4 Cd 0.5000 0.0000 0.3016  2 Cu 2.77, 1 Cd 2.97
5 Cd 0.0000 0.5000 0.6984  2 Cu 2.77, 1 Cd 2.97
6 Cu 0.0000 0.0000 0.5000  8 Cd 2.77
7 Pm 0.0000 0.0000 0.0000  12 Cd 3.25-3.31

---

This record from Alexandria via LeMat-Bulk describes a relaxed MgFeTcPb2 crystal. The functional is GGA-PBE.

**Fermi-level density of states**: 4.901 states/eV/cell
**Magnetization**: 4.43 μB per formula unit
**Calculated formation energy**: 97 kJ per mole of atoms
**DFT total energy**: -4.561 eV/atom

Unit cell a=4.9935 b=4.8113 c=4.9935 alpha=90.00 beta=90.00 gamma=90.00
Closest atoms and distances in Å follow each position.
Element x y z (fractional)
1 Pb 0.0000 0.0000 0.5000  2 Fe 2.50
2 Pb 0.5000 0.0000 0.0000  2 Fe 2.50
3 Fe 0.0000 0.0000 0.0000  2 Mg 2.41, 4 Pb 2.50
4 Mg 0.0000 0.5000 0.0000  2 Fe 2.41
5 Tc 0.5000 0.5000 0.5000  8 Pb 3.47, 4 Mg 3.53

---

| no. | V (Å³ per cell) |
| --- | --- |
| 1 | 93.3 |
| 2 | 210.5 |
| 3 | 163.8 |
| 4 | 120.0 |